Computed, not measured: an optimized crystal structure of ZrBe3 at the PBE level of DFT.

Unit cell a=3.866 b=3.866 c=13.335 alpha=90.00 beta=90.00 gamma=90.00
Space group I4/mmm (No. 139)
Inequivalent atoms, fractional coordinates:
1 Zr 0.000 0.000 0.132 [4 per cell]
2 Be 0.000 0.000 0.356 [4 per cell]
3 Be 0.000 0.500 0.000 [4 per cell]
4 Be 0.000 0.500 0.250 [4 per cell]

Values from the calculation:
Formation energy from the elements: 0.0441 eV/atom
M_tot: 0.00 μB per formula unit
Density of states at the Fermi level: 0.3060 states/eV per atom
Energy above the most stable polymorph in this dataset: 225 meV per atom
Crystal system: tetragonal


Computed, not measured: an optimized crystal structure of Pr5HoTm2 at the PBE level of DFT.

Unit cell a=9.284 b=9.284 c=12.756 alpha=90.00 beta=90.00 gamma=90.00
Space group I4/mcm (No. 140)
Inequivalent atoms, fractional coordinates:
1 Pr 0.000 0.000 0.000 [4 per cell]
2 Pr 0.150 0.350 0.164 [16 per cell]
3 Ho 0.000 0.000 0.250 [4 per cell]
4 Tm 0.146 0.354 0.500 [8 per cell]

Values from the calculation:
Formation energy from the elements: 0.1195 eV/atom
M_tot: 0.35 μB per formula unit
Density of states at the Fermi level: 1.3319 states/eV per atom
Energy above the most stable polymorph in this dataset: 0 meV per atom
Crystal system: tetragonal


Computed, not measured: an optimized crystal structure of Ca4Sn at the PBE level of DFT.

Unit cell a=6.040 b=6.040 c=6.040 alpha=90.00 beta=90.00 gamma=90.00
Space group Pm-3m (No. 221)
Inequivalent atoms, fractional coordinates:
1 Ca 0.000 0.000 0.000 [1 per cell]
2 Ca 0.000 0.500 0.500 [3 per cell]
3 Sn 0.500 0.500 0.500 [1 per cell]

Values from the calculation:
Formation energy from the elements: -0.1249 eV/atom
M_tot: 1.28 μB per formula unit
Density of states at the Fermi level: 1.0293 states/eV per atom
Crystal system: cubic


Computed, not measured: an optimized crystal structure of La2NiIrRu at the PBE level of DFT.

Unit cell a=5.498 b=5.498 c=4.516 alpha=90.00 beta=90.00 gamma=90.00
Space group P4/mmm (No. 123)
Inequivalent atoms, fractional coordinates:
1 La 0.000 0.500 0.000 [2 per cell]
2 Ni 0.000 0.000 0.500 [1 per cell]
3 Ir 0.000 0.000 0.000 [1 per cell]
4 Ru 0.500 0.500 0.500 [1 per cell]

Values from the calculation:
Formation energy from the elements: 0.3919 eV/atom
M_tot: 2.11 μB per formula unit
Density of states at the Fermi level: 0.6478 states/eV per atom
Crystal system: tetragonal


Computed, not measured: an optimized crystal structure of CsNaB2 at the PBE level of DFT.

Unit cell a=7.280 b=7.280 c=7.280 alpha=90.00 beta=90.00 gamma=90.00
Space group Fm-3m (No. 225)
Inequivalent atoms, fractional coordinates:
1 Cs 0.000 0.000 0.000 [4 per cell]
2 Na 0.000 0.000 0.500 [4 per cell]
3 B 0.250 0.250 0.250 [8 per cell]

Values from the calculation:
Formation energy from the elements: 1.9904 eV/atom
M_tot: 0.00 μB per formula unit
Density of states at the Fermi level: 0.6188 states/eV per atom
Crystal system: cubic


Computed, not measured: an optimized crystal structure of SrTcCl2 at the PBE level of DFT.

Unit cell a=3.559 b=4.455 c=6.132 alpha=90.00 beta=90.00 gamma=90.00
Space group Pmmm (No. 47)
Inequivalent atoms, fractional coordinates:
1 Sr 0.000 0.000 0.000 [1 per cell]
2 Tc 0.500 0.000 0.500 [1 per cell]
3 Cl 0.000 0.500 0.500 [1 per cell]
4 Cl 0.500 0.500 0.000 [1 per cell]

Values from the calculation:
M_tot: 3.10 μB per formula unit
Density of states at the Fermi level: 0.4455 states/eV per atom
Energy relative to the elements, uncorrected: -349 meV/atom
Energy above the most stable polymorph in this dataset: 187 meV per atom
Crystal system: orthorhombic


Computed, not measured: an optimized crystal structure of YMn2Te at the PBE level of DFT.

Unit cell a=6.939 b=6.939 c=6.939 alpha=90.00 beta=90.00 gamma=90.00
Space group F-43m (No. 216)
Inequivalent atoms, fractional coordinates:
1 Y 0.000 0.000 0.000 [4 per cell]
2 Mn 0.000 0.000 0.500 [4 per cell]
3 Mn 0.250 0.250 0.250 [4 per cell]
4 Te 0.250 0.250 0.750 [4 per cell]

Values from the calculation:
M_tot: 6.93 μB per formula unit
Density of states at the Fermi level: 1.4163 states/eV per atom
Energy relative to the elements, uncorrected: 201 meV/atom
Crystal system: cubic


Computed, not measured: an optimized crystal structure of Pm8Tl4Pb3 at the PBE level of DFT.

Unit cell a=12.911 b=12.784 c=7.251 alpha=90.00 beta=123.94 gamma=90.00
Space group C2/m (No. 12)
Inequivalent atoms, fractional coordinates:
1 Pm 0.000 0.165 0.000 [4 per cell]
2 Pm 0.000 0.252 0.500 [4 per cell]
3 Pm 0.245 0.000 0.999 [4 per cell]
4 Pm 0.249 0.000 0.501 [4 per cell]
5 Tl 0.000 0.500 0.000 [2 per cell]
6 Tl 0.000 0.500 0.500 [2 per cell]
7 Tl 0.250 0.250 0.000 [4 per cell]
8 Pb 0.000 0.000 0.500 [2 per cell]
9 Pb 0.250 0.250 0.500 [4 per cell]

Values from the calculation:
Formation energy from the elements: -0.2516 eV/atom
M_tot: 0.00 μB per formula unit
Density of states at the Fermi level: 0.8801 states/eV per atom
Crystal system: monoclinic